First-principles (meta-GGA SCAN) data for IrRh5 at its PBEsol-relaxed geometry, as listed in the Alexandria database. Values from VASP.

The structure in Quantum ESPRESSO input format:
```
&SYSTEM
  ibrav = 0, nat = 6, ntyp = 2
/
ATOMIC_SPECIES
Rh 102.91 Rh.upf
Ir 192.22 Ir.upf
ATOMIC_POSITIONS crystal
Rh 0.000 0.669 0.000
Rh 0.000 0.000 0.669
Rh 0.000 0.331 0.331
Rh 0.500 0.333 0.667
Rh 0.500 0.667 0.333
Ir 0.500 0.000 0.000
CELL_PARAMETERS angstrom
-0.511 -3.229 2.864
-1.108 -2.901 -3.469
4.441 0.465 1.317
```

Computed properties:
Its space group is P-62m (189). The total energy comes out at -39.952 eV per atom. The volume comes out at 81.6 Å³/cell. The value obtained for the energy above the lowest structure with this stoichiometry is 50 meV per atom.

First-principles (meta-GGA SCAN) data for KTlMoRh2 at its PBEsol-relaxed geometry, as listed in the Alexandria database. Values from VASP.

The structure in Quantum ESPRESSO input format:
```
&SYSTEM
  ibrav = 0, nat = 5, ntyp = 4
/
ATOMIC_SPECIES
Tl 204.38 Tl.upf
Rh 102.91 Rh.upf
Mo 95.94 Mo.upf
K 39.10 K.upf
ATOMIC_POSITIONS crystal
Tl 0.000 0.000 0.000
Rh 0.500 0.000 0.000
Rh 0.000 0.500 0.000
Mo 0.000 0.000 0.500
K 0.500 0.500 0.500
CELL_PARAMETERS angstrom
-0.437 1.972 -4.612
1.364 -4.408 -2.014
-5.019 -1.481 -0.157
```

Computed properties:
Its space group is P4/mmm (123). The total energy comes out at -35.074 eV per atom. The volume comes out at 132.7 Å³/cell.

First-principles (meta-GGA SCAN) data for Li2ZrN at its PBEsol-relaxed geometry, as listed in the Alexandria database. Values from VASP.

The structure in Quantum ESPRESSO input format:
```
&SYSTEM
  ibrav = 0, nat = 8, ntyp = 3
/
ATOMIC_SPECIES
Li 6.94 Li.upf
Zr 91.22 Zr.upf
N 14.01 N.upf
ATOMIC_POSITIONS crystal
Li 0.625 0.125 0.125
Li 0.125 0.125 0.125
Li 0.125 0.125 0.625
Li 0.125 0.625 0.125
Zr 0.500 0.500 0.500
Zr 0.750 0.750 0.750
N 0.000 0.000 0.000
N 0.250 0.250 0.250
CELL_PARAMETERS angstrom
-5.532 0.591 0.678
-3.498 -3.920 -1.953
-2.757 -3.326 3.571
```

Computed properties:
Its space group is Fd-3m (227). The calculation puts the uncorrected formation energy at 0.493 eV per atom. The total energy comes out at -10.700 eV per atom. The volume comes out at 124.5 Å³/cell.

First-principles (meta-GGA SCAN) data for As2PbAu at its PBEsol-relaxed geometry, as listed in the Alexandria database. Values from VASP.

The structure in Quantum ESPRESSO input format:
```
&SYSTEM
  ibrav = 0, nat = 4, ntyp = 3
/
ATOMIC_SPECIES
Au 196.97 Au.upf
As 74.92 As.upf
Pb 207.20 Pb.upf
ATOMIC_POSITIONS crystal
Au 0.500 0.500 0.500
As 0.000 0.000 0.312
As 0.000 0.000 0.688
Pb 0.500 0.500 0.000
CELL_PARAMETERS angstrom
3.593 0.460 0.000
-0.459 3.593 0.000
0.000 0.000 6.542
```

Computed properties:
Its space group is P4/mmm (123). The total energy comes out at -46.131 eV per atom. The volume comes out at 85.8 Å³/cell.

First-principles (meta-GGA SCAN) data for La2YSe at its PBEsol-relaxed geometry, as listed in the Alexandria database. Values from VASP.

The structure in Quantum ESPRESSO input format:
```
&SYSTEM
  ibrav = 0, nat = 4, ntyp = 3
/
ATOMIC_SPECIES
Y 88.91 Y.upf
Se 78.96 Se.upf
La 138.91 La.upf
ATOMIC_POSITIONS crystal
Y 0.250 0.750 0.500
Se 0.500 0.500 0.000
La 0.000 0.000 0.000
La 0.750 0.250 0.500
CELL_PARAMETERS angstrom
-1.859 4.071 0.937
-1.911 -1.741 3.771
6.021 0.107 0.328
```

Computed properties:
Its space group is I-4m2 (119). The calculation puts the uncorrected formation energy at -0.547 eV per atom. The total energy comes out at -34.079 eV per atom. The volume comes out at 106.4 Å³/cell.

First-principles (meta-GGA SCAN) data for KLiTl2 at its PBEsol-relaxed geometry, as listed in the Alexandria database. Values from VASP.

The structure in Quantum ESPRESSO input format:
```
&SYSTEM
  ibrav = 0, nat = 4, ntyp = 3
/
ATOMIC_SPECIES
Tl 204.38 Tl.upf
K 39.10 K.upf
Li 6.94 Li.upf
ATOMIC_POSITIONS crystal
Tl 0.000 0.000 0.688
Tl 0.000 0.000 0.312
K 0.500 0.500 0.000
Li 0.500 0.500 0.500
CELL_PARAMETERS angstrom
3.540 0.000 0.000
0.000 3.580 0.000
0.000 0.000 8.507
```

Computed properties:
Its space group is Pmmm (47). The total energy comes out at -39.095 eV per atom. The volume comes out at 107.8 Å³/cell. The value obtained for the energy above the lowest structure with this stoichiometry is 33 meV per atom.